Record 1
This record from the Alexandria database describes a relaxed NaGe3Sb crystal. The functional is PBE-GGA.

The structure in POSCAR format:
```
NaGe3Sb
1.0
5.0758 0.0000 0.0000
0.0000 5.0758 0.0000
0.0000 0.0000 5.0758
Na Ge Sb
1 3 1
Direct
0.0000 0.0000 0.0000 Na
0.0000 0.0000 0.5000 Ge
0.0000 0.5000 0.0000 Ge
0.5000 0.0000 0.0000 Ge
0.5000 0.5000 0.5000 Sb
```

electronic total energy	-14.7	eV for the cell shown
Fermi-level density of states	3.23	states/eV/f.u.
uncorrected formation energy	0.93	eV/atom


Record 2
This record from the Alexandria database describes a relaxed NaGeSb crystal. The functional is PBE-GGA.

The structure in POSCAR format:
```
NaGeSb
1.0
5.1548 0.0000 0.0000
-2.5774 4.4642 0.0000
0.0000 0.0000 3.2107
Na Ge Sb
1 1 1
Direct
0.0000 0.0000 0.0000 Na
0.3333 0.6667 0.5000 Ge
0.6667 0.3333 0.5000 Sb
```

electronic total energy	-10.2	eV for the cell shown
Fermi-level density of states	1.92	states/eV/f.u.
uncorrected formation energy	-0.05	eV/atom


Record 3
This record from the Alexandria database describes a relaxed Na2GeSb2 crystal. The functional is PBE-GGA.

The structure in POSCAR format:
```
Na2GeSb2
1.0
7.5893 0.0000 0.0000
0.0000 7.5893 0.0000
0.0000 0.0000 4.9556
Na Ge Sb
4 2 4
Direct
0.1715 0.3285 0.0000 Na
0.3285 0.8285 0.0000 Na
0.6715 0.1715 0.0000 Na
0.8285 0.6715 0.0000 Na
0.0000 0.0000 0.5000 Ge
0.5000 0.5000 0.5000 Ge
0.1352 0.6352 0.5000 Sb
0.3648 0.1352 0.5000 Sb
0.6352 0.8648 0.5000 Sb
0.8648 0.3648 0.5000 Sb
```

electronic total energy	-32.4	eV for the cell shown
Fermi-level density of states	2.37	states/eV/f.u.
uncorrected formation energy	-0.14	eV/atom


Record 4
This record from the Alexandria database describes a relaxed NaGeSb crystal. The functional is PBE-GGA.

The structure in POSCAR format:
```
NaGeSb
1.0
-2.4361 2.6887 7.2995
2.4361 -2.6887 7.2995
2.4361 2.6887 -7.2995
Na Ge Sb
2 2 2
Direct
0.1287 0.1287 0.0000 Na
0.8713 0.8713 0.0000 Na
0.2227 0.5000 0.7227 Ge
0.7773 0.5000 0.2773 Ge
0.3488 0.3488 0.0000 Sb
0.6512 0.6512 0.0000 Sb
```

electronic total energy	-19.9	eV for the cell shown
Fermi-level density of states	1.11	states/eV/f.u.
uncorrected formation energy	0.03	eV/atom